Density functional theory data (GGA-PBE) for KMn2In after structural relaxation.

abc: 9.646 3.029 7.108
angles: 90.00 94.88 90.00
Space group C2/m (No. 12)
One atom of each set of equivalent atoms:
K  0.000  0.000  0.000
Mn  0.234  0.000  0.647
In  0.000  0.500  0.500

Calculated values
crystal system	monoclinic
energy of formation	0.60	eV per atom
raw total energy	-0.1818	Ha/atom